Entry 1:
Here is a geometry-optimized Tb2TmPu structure from Alexandria. Energies are from PBE.

a b c (Å): 3.4840 3.4840 9.9871
angles (deg): 90.00 90.00 90.00
With the nearest neighbours (Å) after each atom.
Space group P4/mmm (No. 123)
Symmetry-distinct sites (fractional):
Tb 0.0000 0.0000 0.2471  4 Tb 3.48, 4 Pu 3.49, 4 Tm 3.53
Tm 0.5000 0.5000 0.5000  4 Tm 3.48, 8 Tb 3.53
Pu 0.5000 0.5000 0.0000  4 Pu 3.48, 8 Tb 3.49

Values from the calculation:
Energy above the most stable polymorph in this dataset, meV per atom: 4
Fermi-level density of states, states/eV/f.u.: 9.89
Raw total energy, eV/atom: -6.918
M_tot, μB/cell: 6.04

---

Entry 2:
Here is a geometry-optimized Tb3Tm12Pu structure from Alexandria. Energies are from PBE.

a b c (Å): 4.9445 4.9445 19.7317
angles (deg): 90.00 90.00 90.00
With the nearest neighbours (Å) after each atom.
Space group P4/mmm (No. 123)
Symmetry-distinct sites (fractional):
Tb 0.0000 0.0000 0.0000  12 Tm 3.50-3.51
Tb 0.0000 0.0000 0.2522  12 Tm 3.50-3.51
Tm 0.0000 0.5000 0.1260  8 Tm 3.49-3.51, 4 Tb 3.51
Tm 0.0000 0.5000 0.3784  8 Tm 3.44-3.52, 2 Pu 3.44, 2 Tb 3.51
Tm 0.5000 0.5000 0.0000  4 Tb 3.50, 8 Tm 3.51
Tm 0.5000 0.5000 0.2512  8 Tm 3.49-3.52, 4 Tb 3.50
Tm 0.5000 0.5000 0.5000  8 Tm 3.44, 4 Pu 3.50
Pu 0.0000 0.0000 0.5000  12 Tm 3.44-3.50

Values from the calculation:
Fermi-level density of states, states/eV/f.u.: 28.76
Raw total energy, eV/atom: -5.075
M_tot, μB/cell: 6.28

---

Entry 3:
Here is a geometry-optimized Tb2Y6Tm3Pu structure from Alexandria. Energies are from PBE.

a b c (Å): 6.1297 10.6192 11.6873
angles (deg): 90.00 100.10 90.00
With the nearest neighbours (Å) after each atom.
Space group C2/m (No. 12)
Symmetry-distinct sites (fractional):
Tb 0.0000 0.1666 0.0000  6 Y 3.53-3.54, 3 Tb 3.54, 3 Pu 3.54
Y 0.2470 0.5000 0.7499  6 Y 3.50-3.56, 1 Pu 3.52, 3 Tm 3.52-3.54, 2 Tb 3.53
Y 0.2479 0.3350 0.2500  6 Y 3.50-3.56, 1 Pu 3.52, 3 Tm 3.52-3.54, 2 Tb 3.53-3.54
Tm 0.0000 0.0000 0.5000  6 Y 3.52-3.54, 6 Tm 3.53-3.54
Tm 0.0000 0.3329 0.5000  6 Y 3.52-3.54, 6 Tm 3.53-3.55
Pu 0.0000 0.5000 0.0000  6 Y 3.52, 6 Tb 3.54

Values from the calculation:
Fermi-level density of states, states/eV/f.u.: 25.83
Raw total energy, eV/atom: -6.264
M_tot, μB/cell: 12.93